No. 1
Here is a relaxed Al2InPb crystal from Alexandria. Energies are from GGA-PBE.

a = 4.3194 Å, b = 4.3989 Å, c = 5.0010 Å
α = 90.00°, β = 90.00°, γ = 90.00°
Closest atoms and distances in Å follow each position.
Sites, in units of the cell vectors:
Al: 0.0000 0.0000 0.0000  4 Pb 3.08, 4 In 3.30, 4 Al 3.33
Al: 0.0000 0.5000 0.5000  4 In 3.08, 4 Pb 3.30, 4 Al 3.33
In: 0.5000 0.0000 0.5000  8 Al 3.08-3.30, 4 Pb 3.33
Pb: 0.5000 0.5000 0.0000  8 Al 3.08-3.30, 4 In 3.33

Values from the calculation:
For the energy above the most stable polymorph in this dataset, the calculation gives 105 meV per atom. Its crystal system is orthorhombic.

***

No. 2
Here is a relaxed Al2InPb2 crystal from Alexandria. Energies are from GGA-PBE.

a = 3.8870 Å, b = 3.8870 Å, c = 18.0052 Å
α = 90.00°, β = 90.00°, γ = 90.00°
Closest atoms and distances in Å follow each position.
Sites, in units of the cell vectors:
Al: 0.0000 0.5000 0.2500  4 Al 2.75, 4 Pb 3.07
Al: 0.0000 0.5000 0.7500  4 Al 2.75, 4 Pb 3.07
Al: 0.5000 0.0000 0.2500  4 Al 2.75, 4 Pb 3.07
Al: 0.5000 0.0000 0.7500  4 Al 2.75, 4 Pb 3.07
In: 0.0000 0.0000 0.0000  8 Pb 3.47, 4 In 3.89
In: 0.5000 0.5000 0.5000  8 Pb 3.47, 4 In 3.89
Pb: 0.0000 0.0000 0.3821  4 Al 3.07
Pb: 0.0000 0.0000 0.6179  4 Al 3.07
Pb: 0.5000 0.5000 0.1179  4 Al 3.07
Pb: 0.5000 0.5000 0.8821  4 Al 3.07

Values from the calculation:
For the energy above the most stable polymorph in this dataset, the calculation gives 10 meV per atom. Its crystal system is tetragonal.

***

No. 3
Here is a relaxed Al2InRePb crystal from Alexandria. Energies are from GGA-PBE.

a = 5.0886 Å, b = 5.0886 Å, c = 5.2062 Å
α = 90.00°, β = 90.00°, γ = 90.00°
Closest atoms and distances in Å follow each position.
Sites, in units of the cell vectors:
Al: 0.0000 0.5000 0.0000  2 In 2.54
Al: 0.5000 0.0000 0.0000  2 In 2.54
In: 0.0000 0.0000 0.0000  4 Al 2.54, 2 Re 2.60
Re: 0.0000 0.0000 0.5000  2 In 2.60
Pb: 0.5000 0.5000 0.5000  4 Re 3.60, 8 Al 3.64

Values from the calculation:
For the total DFT energy (no corrections), the calculation gives -3.8304 eV/atom. Its crystal system is tetragonal.

***

No. 4
Here is a relaxed AlInPb2S5 crystal from Alexandria. Energies are from GGA-PBE.

a = 9.0188 Å, b = 9.0188 Å, c = 12.6525 Å
α = 90.00°, β = 90.00°, γ = 155.37°
Closest atoms and distances in Å follow each position.
Sites, in units of the cell vectors:
Al: 0.0560 0.9440 0.5000  4 S 2.23-2.32
Al: 0.9440 0.0560 0.0000  4 S 2.23-2.32
In: 0.2947 0.7053 0.0970  6 S 2.60-2.88
In: 0.7053 0.2947 0.5970  6 S 2.60-2.88
Pb: 0.3764 0.6236 0.3879  6 S 2.85-3.11
Pb: 0.3776 0.6224 0.7358  3 S 2.82-2.93
Pb: 0.6224 0.3776 0.2358  3 S 2.82-2.93
Pb: 0.6236 0.3764 0.8879  6 S 2.85-3.11
S: 0.0074 0.9926 0.8477  1 Al 2.23
S: 0.1477 0.8523 0.0767  1 In 2.60, 2 Pb 2.82
S: 0.1816 0.8184 0.4545  1 Al 2.29
S: 0.2112 0.7888 0.7387  2 In 2.63, 1 Pb 2.93
S: 0.4579 0.5421 0.1009  2 Al 2.32
S: 0.5421 0.4579 0.6009  2 Al 2.32
S: 0.7888 0.2112 0.2387  2 In 2.63, 1 Pb 2.93
S: 0.8184 0.1816 0.9545  1 Al 2.29
S: 0.8523 0.1477 0.5767  1 In 2.60, 2 Pb 2.82
S: 0.9926 0.0074 0.3477  1 Al 2.23

Values from the calculation:
For the total DFT energy (no corrections), the calculation gives -4.5286 eV/atom. Its crystal system is orthorhombic.

***

No. 5
Here is a relaxed AlInSb2Pb crystal from Alexandria. Energies are from GGA-PBE.

a = 5.6633 Å, b = 5.6633 Å, c = 5.7499 Å
α = 90.00°, β = 90.00°, γ = 90.00°
Closest atoms and distances in Å follow each position.
Sites, in units of the cell vectors:
Al: 0.0000 0.0000 0.0000  4 Pb 4.00, 8 Sb 4.04
In: 0.5000 0.5000 0.5000  4 Sb 2.83, 2 Pb 2.87
Sb: 0.0000 0.5000 0.5000  2 In 2.83
Sb: 0.5000 0.0000 0.5000  2 In 2.83
Pb: 0.5000 0.5000 0.0000  2 In 2.87

Values from the calculation:
For the total DFT energy (no corrections), the calculation gives -2.8895 eV/atom. Its crystal system is tetragonal.

***

No. 6
Here is a relaxed AlIn2PbSe6 crystal from Alexandria. Energies are from GGA-PBE.

a = 9.6498 Å, b = 9.6498 Å, c = 7.8265 Å
α = 108.48°, β = 108.48°, γ = 88.16°
Closest atoms and distances in Å follow each position.
Sites, in units of the cell vectors:
Al: 0.1699 0.8301 0.7500  4 Se 2.39-2.46
Al: 0.8301 0.1699 0.2500  4 Se 2.39-2.46
In: 0.2419 0.4049 0.3729  4 Se 2.60-2.69
In: 0.4049 0.2419 0.8729  4 Se 2.60-2.69
In: 0.5951 0.7581 0.1271  4 Se 2.60-2.69
In: 0.7581 0.5951 0.6271  4 Se 2.60-2.69
Pb: 0.1267 0.8733 0.2500  6 Se 3.09-3.14
Pb: 0.8733 0.1267 0.7500  6 Se 3.09-3.14
Se: 0.0563 0.1703 0.1685  1 Al 2.46, 1 In 2.65
Se: 0.1044 0.6412 0.4467  1 Al 2.39, 1 In 2.60
Se: 0.1703 0.0563 0.6685  1 Al 2.46, 1 In 2.65
Se: 0.3167 0.4622 0.0978  2 In 2.61-2.69
Se: 0.3588 0.8956 0.0533  1 Al 2.39, 1 In 2.60
Se: 0.4622 0.3167 0.5978  2 In 2.61-2.69
Se: 0.5378 0.6833 0.4022  2 In 2.61-2.69
Se: 0.6412 0.1044 0.9467  1 Al 2.39, 1 In 2.60
Se: 0.6833 0.5378 0.9022  2 In 2.61-2.69
Se: 0.8297 0.9437 0.3315  1 Al 2.46, 1 In 2.65
Se: 0.8956 0.3588 0.5533  1 Al 2.39, 1 In 2.60
Se: 0.9437 0.8297 0.8315  1 Al 2.46, 1 In 2.65

Values from the calculation:
For the total DFT energy (no corrections), the calculation gives -3.8575 eV/atom. Its crystal system is monoclinic.

***

No. 7
Here is a relaxed AlInSnPb2 crystal from Alexandria. Energies are from GGA-PBE.

a = 5.7551 Å, b = 5.7551 Å, c = 5.1745 Å
α = 90.00°, β = 90.00°, γ = 90.00°
Closest atoms and distances in Å follow each position.
Sites, in units of the cell vectors:
Al: 0.0000 0.0000 0.0000  2 In 2.59
In: 0.0000 0.0000 0.5000  2 Al 2.59, 4 Pb 2.88
Sn: 0.5000 0.5000 0.0000  8 Pb 3.87, 4 Al 4.07
Pb: 0.0000 0.5000 0.5000  2 In 2.88
Pb: 0.5000 0.0000 0.5000  2 In 2.88

Values from the calculation:
For the total DFT energy (no corrections), the calculation gives -2.9618 eV/atom. Its crystal system is tetragonal.

***

No. 8
Here is a relaxed TaAl2InPb crystal from Alexandria. Energies are from GGA-PBE.

a = 5.2228 Å, b = 5.2228 Å, c = 5.4812 Å
α = 90.00°, β = 90.00°, γ = 90.00°
Closest atoms and distances in Å follow each position.
Sites, in units of the cell vectors:
Ta: 0.0000 0.0000 0.0000  4 Al 2.61, 2 Pb 2.74
Al: 0.0000 0.5000 0.0000  2 Ta 2.61
Al: 0.5000 0.0000 0.0000  2 Ta 2.61
In: 0.5000 0.5000 0.5000  4 Pb 3.69, 8 Al 3.79
Pb: 0.0000 0.0000 0.5000  2 Ta 2.74

Values from the calculation:
For the total DFT energy (no corrections), the calculation gives -4.5331 eV/atom. Its crystal system is tetragonal.

***

No. 9
Here is a relaxed AlInTe5Pb2 crystal from Alexandria. Energies are from GGA-PBE.

a = 10.5936 Å, b = 10.5936 Å, c = 13.5125 Å
α = 90.00°, β = 90.00°, γ = 156.64°
Closest atoms and distances in Å follow each position.
Sites, in units of the cell vectors:
Al: 0.0666 0.9334 0.5000  4 Te 2.62-2.68
Al: 0.9334 0.0666 0.0000  4 Te 2.62-2.68
In: 0.2737 0.7263 0.0747  5 Te 2.86-3.01
In: 0.7263 0.2737 0.5747  5 Te 2.86-3.01
Te: 0.0059 0.9941 0.3303  1 Al 2.62
Te: 0.1375 0.8625 0.0402  1 In 2.86, 2 Pb 3.12
Te: 0.1856 0.8144 0.4313  1 Al 2.64
Te: 0.2190 0.7810 0.7278  2 In 2.98
Te: 0.4628 0.5372 0.1100  2 Al 2.68
Te: 0.5372 0.4628 0.6100  2 Al 2.68
Te: 0.7810 0.2190 0.2278  2 In 2.98
Te: 0.8144 0.1856 0.9313  1 Al 2.64
Te: 0.8625 0.1375 0.5402  1 In 2.86, 2 Pb 3.12
Te: 0.9941 0.0059 0.8303  1 Al 2.62
Pb: 0.3803 0.6197 0.7061  3 Te 3.12-3.36
Pb: 0.3946 0.6054 0.3285  5 Te 3.15-3.47
Pb: 0.6054 0.3946 0.8285  5 Te 3.15-3.47
Pb: 0.6197 0.3803 0.2061  3 Te 3.12-3.36

Values from the calculation:
For the total DFT energy (no corrections), the calculation gives -3.6405 eV/atom. Its crystal system is orthorhombic.

***

No. 10
Here is a relaxed AlV2InPb crystal from Alexandria. Energies are from GGA-PBE.

a = 5.1274 Å, b = 5.1274 Å, c = 4.8919 Å
α = 90.00°, β = 90.00°, γ = 90.00°
Closest atoms and distances in Å follow each position.
Sites, in units of the cell vectors:
Al: 0.0000 0.0000 0.0000  2 In 2.45
V: 0.0000 0.5000 0.5000  2 In 2.56
V: 0.5000 0.0000 0.5000  2 In 2.56
In: 0.0000 0.0000 0.5000  2 Al 2.45, 4 V 2.56
Pb: 0.5000 0.5000 0.0000  8 V 3.54, 4 Al 3.63

Values from the calculation:
For the total DFT energy (no corrections), the calculation gives -4.4677 eV/atom. Its crystal system is tetragonal.

***

No. 11
Here is a relaxed Al2InPd crystal from Alexandria. Energies are from GGA-PBE.

a = 4.3318 Å, b = 4.3318 Å, c = 14.1108 Å
α = 90.00°, β = 90.00°, γ = 120.00°
Closest atoms and distances in Å follow each position.
Sites, in units of the cell vectors:
Al: 0.0000 0.0000 0.0000  3 Pd 2.56
Al: 0.0000 0.0000 0.2234  3 Pd 2.69, 3 Al 2.94, 1 In 3.00
Al: 0.3333 0.6667 0.6667  3 Pd 2.56
Al: 0.3333 0.6667 0.8901  3 Pd 2.69, 3 Al 2.94, 1 In 3.00
Al: 0.6667 0.3333 0.3333  3 Pd 2.56
Al: 0.6667 0.3333 0.5567  3 Pd 2.69, 3 Al 2.94, 1 In 3.00
In: 0.0000 0.0000 0.4359  1 Pd 2.71, 7 Al 2.89-3.03
In: 0.3333 0.6667 0.1026  1 Pd 2.71, 7 Al 2.89-3.03
In: 0.6667 0.3333 0.7692  1 Pd 2.71, 7 Al 2.89-3.03
Pd: 0.0000 0.0000 0.6277  6 Al 2.56-2.69, 1 In 2.71
Pd: 0.3333 0.6667 0.2944  6 Al 2.56-2.69, 1 In 2.71
Pd: 0.6667 0.3333 0.9611  6 Al 2.56-2.69, 1 In 2.71

Values from the calculation:
For the total DFT energy (no corrections), the calculation gives -4.1662 eV/atom. Its crystal system is trigonal.

***

No. 12
Here is a relaxed AlInPd4 crystal from Alexandria. Energies are from GGA-PBE.

a = 4.7420 Å, b = 8.7123 Å, c = 4.7561 Å
α = 90.00°, β = 103.00°, γ = 90.00°
Closest atoms and distances in Å follow each position.
Sites, in units of the cell vectors:
Al: 0.0000 0.0000 0.0000  10 Pd 2.74-2.94, 2 In 2.96
Al: 0.0000 0.5000 0.5000  10 Pd 2.74-2.94, 2 In 2.96
In: 0.5000 0.0000 0.5000  10 Pd 2.75-2.97, 2 Al 2.96
In: 0.5000 0.5000 0.0000  10 Pd 2.75-2.97, 2 Al 2.96
Pd: 0.0007 0.1622 0.5018  2 In 2.76, 3 Al 2.76-2.94, 7 Pd 2.83-2.96
Pd: 0.0007 0.3378 0.0018  2 In 2.76, 3 Al 2.76-2.94, 7 Pd 2.83-2.96
Pd: 0.4991 0.6594 0.4994  2 Al 2.74-2.75, 3 In 2.75-2.97, 7 Pd 2.78-2.96
Pd: 0.4991 0.8406 0.9994  2 Al 2.74-2.75, 3 In 2.75-2.97, 7 Pd 2.78-2.96
Pd: 0.5009 0.1594 0.0006  2 Al 2.74-2.75, 3 In 2.75-2.97, 7 Pd 2.78-2.96
Pd: 0.5009 0.3406 0.5006  2 Al 2.74-2.75, 3 In 2.75-2.97, 7 Pd 2.78-2.96
Pd: 0.9993 0.6622 0.9982  2 In 2.76, 3 Al 2.76-2.94, 7 Pd 2.83-2.96
Pd: 0.9993 0.8378 0.4982  2 In 2.76, 3 Al 2.76-2.94, 7 Pd 2.83-2.96

Values from the calculation:
For the energy above the most stable polymorph in this dataset, the calculation gives 73 meV per atom. Its crystal system is monoclinic.